[1]
A plane-wave DFT calculation with PBE was carried out for CuBPdAu after structural relaxation.

The structure in POSCAR format:
```
CuBPdAu
1.0
0.0000 3.0036 3.0036
3.0036 0.0000 3.0036
3.0036 3.0036 0.0000
Cu B Pd Au
1 1 1 1
direct
0.0000 0.0000 0.0000 Cu
0.7500 0.7500 0.7500 B
0.5000 0.5000 0.5000 Pd
0.2500 0.2500 0.2500 Au
```

Output
Space group ... F-43m
Polymorph energy (0 for the lowest one) ... 0.0 meV/atom
Raw total energy ... -16.32 eV per formula unit


[2]
A plane-wave DFT calculation with PBE was carried out for CuBPtAu after structural relaxation.

The structure in POSCAR format:
```
CuBPtAu
1.0
0.0000 3.0175 3.0175
3.0175 0.0000 3.0175
3.0175 3.0175 0.0000
Cu B Pt Au
1 1 1 1
direct
0.0000 0.0000 0.0000 Cu
0.7500 0.7500 0.7500 B
0.5000 0.5000 0.5000 Pt
0.2500 0.2500 0.2500 Au
```

Output
Space group ... F-43m
Polymorph energy (0 for the lowest one) ... 0.0 meV/atom
Raw total energy ... -17.03 eV per formula unit


[3]
A plane-wave DFT calculation with PBE was carried out for ScCuBAu after structural relaxation.

The structure in POSCAR format:
```
ScCuBAu
1.0
0.0000 3.0312 3.0312
3.0312 0.0000 3.0312
3.0312 3.0312 0.0000
Sc Cu B Au
1 1 1 1
direct
0.0000 0.0000 0.0000 Sc
0.2500 0.2500 0.2500 Cu
0.7500 0.7500 0.7500 B
0.5000 0.5000 0.5000 Au
```

Output
Space group ... F-43m
Polymorph energy (0 for the lowest one) ... 0.0 meV/atom
Raw total energy ... -19.85 eV per formula unit


[4]
A plane-wave DFT calculation with PBE was carried out for ScCuBAu after structural relaxation.

The structure in POSCAR format:
```
ScCuBAu
1.0
0.0000 3.0589 3.0589
3.0589 0.0000 3.0589
3.0589 3.0589 0.0000
Sc Cu B Au
1 1 1 1
direct
0.0000 0.0000 0.0000 Sc
0.7500 0.7500 0.7500 Cu
0.5000 0.5000 0.5000 B
0.2500 0.2500 0.2500 Au
```

Output
Space group ... F-43m
Polymorph energy (0 for the lowest one) ... 194.6 meV/atom
Raw total energy ... -19.07 eV per formula unit


[5]
A plane-wave DFT calculation with PBE was carried out for ScCuBAu after structural relaxation.

The structure in POSCAR format:
```
ScCuBAu
1.0
0.0000 3.0824 3.0824
3.0824 0.0000 3.0824
3.0824 3.0824 0.0000
Sc Cu B Au
1 1 1 1
direct
0.0000 0.0000 0.0000 Sc
0.5000 0.5000 0.5000 Cu
0.2500 0.2500 0.2500 B
0.7500 0.7500 0.7500 Au
```

Output
Space group ... F-43m
Polymorph energy (0 for the lowest one) ... 101.6 meV/atom
Raw total energy ... -19.44 eV per formula unit


[6]
A plane-wave DFT calculation with PBE was carried out for TaCuBAu after structural relaxation.

The structure in POSCAR format:
```
TaCuBAu
1.0
0.0000 3.0450 3.0450
3.0450 0.0000 3.0450
3.0450 3.0450 0.0000
Ta Cu B Au
1 1 1 1
direct
0.0000 0.0000 0.0000 Ta
0.5000 0.5000 0.5000 Cu
0.2500 0.2500 0.2500 B
0.7500 0.7500 0.7500 Au
```

Output
Space group ... F-43m
Polymorph energy (0 for the lowest one) ... 0.0 meV/atom
Raw total energy ... -23.31 eV per formula unit